1.
{"formula": "Y6HgPd5", "functional": "PBE-GGA", "state": "relaxed", "sg": "No. 10", "n_ef_per_ev_fu": 8.36, "lattice": [[-0.177, -4.156, -2.825], [4.439, -3.265, 4.525], [-5.786, -0.360, 5.417]], "species": ["Y", "Pd", "Y", "Pd", "Y", "Y", "Y", "Hg", "Pd", "Pd", "Pd", "Y"], "fractional_positions": [[0.170, 0.253, 0.340], [0.336, 0.000, 0.671], [0.170, 0.747, 0.340], [0.000, 0.500, 0.000], [0.830, 0.253, 0.660], [0.830, 0.747, 0.660], [0.500, 0.741, 0.000], [0.000, 0.000, 0.000], [0.336, 0.500, 0.669], [0.664, 0.000, 0.329], [0.664, 0.500, 0.331], [0.500, 0.259, 0.000]]}


2.
{"formula": "Y2HgPd2", "functional": "PBE-GGA", "state": "relaxed", "sg": "No. 139", "n_ef_per_ev_fu": 2.70, "lattice": [[-3.999, 1.767, 3.222], [2.720, -1.779, 4.352], [1.219, 3.618, 4.107]], "species": ["Hg", "Pd", "Y", "Y", "Pd"], "fractional_positions": [[0.000, 0.000, 0.000], [0.345, 0.345, 0.310], [0.750, 0.250, 0.500], [0.250, 0.750, 0.500], [0.655, 0.655, 0.690]]}


3.
{"formula": "Y4HgPd3", "functional": "PBE-GGA", "state": "relaxed", "sg": "No. 25", "n_ef_per_ev_fu": 4.77, "lattice": [[-0.360, -3.617, -0.853], [2.734, 0.607, -3.725], [8.715, -2.288, 6.024]], "species": ["Y", "Y", "Pd", "Y", "Pd", "Hg", "Pd", "Y"], "fractional_positions": [[0.500, 0.500, 0.373], [0.000, 0.000, 0.145], [0.000, 0.500, 0.584], [0.000, 0.500, 0.849], [0.500, 0.000, 0.913], [0.500, 0.500, 0.084], [0.000, 0.000, 0.416], [0.500, 0.000, 0.636]]}


| no. | calculated formation energy (eV per atom) |
| --- | --- |
| 1 | -0.7996 |
| 2 | -0.6038 |
| 3 | -0.7935 |